{
  "formula": "HfS6Br2",
  "functional": "PBE",
  "state": "relaxed",
  "final_energy_ev_per_atom": -4.583,
  "volume_a3_per_cell": 250.2,
  "formation_energy_uncorrected_ev_per_atom": -0.3537,
  "m_tot_mub_per_fu": 0.00,
  "spacegroup": "No. 12",
  "lattice": [[4.086, -7.767, 0.000], [4.086, 7.767, 0.000], [-0.244, 0.000, 3.942]],
  "species": ["Hf", "S", "S", "S", "S", "S", "S", "Br", "Br"],
  "frac_coords": [[0.000, 0.000, 0.000], [0.253, 0.526, 0.891], [0.309, 0.309, 0.049], [0.474, 0.747, 0.109], [0.526, 0.253, 0.891], [0.691, 0.691, 0.951], [0.747, 0.474, 0.109], [0.119, 0.881, 0.500], [0.881, 0.119, 0.500]]
}